Below is a relaxed Ag5TeSe4 crystal, with properties calculated at the PBE-GGA level.

The raw formation energy comes out at 0.020 eV per atom. The density of states at the Fermi level comes out at 0.13 states/eV/atom. Its total magnetization is 0.000 μB/atom.

The structure belongs to space group P-1 (No. 2); the cell edges are 4.528, 6.798 and 8.249 Å and the angles 75.89°, 84.42° and 88.15°. The inequivalent atoms are Ag at (0.000, 0.000, 0.000), Ag at (0.137, 0.767, 0.386), Ag at (0.423, 0.375, 0.375), Te at (0.000, 0.500, 0.000), Se at (0.053, 0.813, 0.690) and Se at (0.411, 0.731, 0.107).